A plane-wave DFT calculation with GGA-PBE was carried out for an optimized crystal structure of LaHf4.

a b c (Å): 5.1016 5.1016 5.1016
angles (deg): 90.00 90.00 90.00
Closest atoms and distances in Å follow each position.
Positions (direct):
La 0.0000 0.0000 0.0000  6 Hf 2.55
Hf 0.0000 0.0000 0.5000  2 La 2.55
Hf 0.0000 0.5000 0.0000  2 La 2.55
Hf 0.5000 0.0000 0.0000  2 La 2.55
Hf 0.5000 0.5000 0.5000  12 Hf 3.61

Formation energy from the elements (eV/atom): 1.479
Spin magnetization (μB per formula unit): 0.00
Space-group type: Pm-3m